## P
# CaTaHg | Alexandria | PBE | optimized geometry
# Total magnetic moment (Bohr magnetons per cell): 4.54
data_CaTaHg
_chemical_formula_sum 'Ca4 Ta4 Hg4'
_space_group_name_H-M_alt 'F -4 3 m'
_space_group_IT_number 216
_space_group_name_Hall 'F -4 2 3'
_cell_length_a 6.848
_cell_length_b 6.848
_cell_length_c 6.848
_cell_angle_alpha 90.00
_cell_angle_beta 90.00
_cell_angle_gamma 90.00
loop_
_atom_site_label
_atom_site_type_symbol
_atom_site_fract_x
_atom_site_fract_y
_atom_site_fract_z
Ca1 Ca 0.000 0.000 0.000
Ta1 Ta 0.000 0.000 0.500
Hg1 Hg 0.250 0.250 0.250

=====

## Q
# CaTaHg | Alexandria | PBE | optimized geometry
# Total magnetic moment (Bohr magnetons per cell): 0.00
data_CaTaHg
_chemical_formula_sum 'Ca1 Ta1 Hg1'
_space_group_name_H-M_alt 'P -6 m 2'
_space_group_IT_number 187
_space_group_name_Hall 'P -6 2'
_cell_length_a 5.0280
_cell_length_b 5.0280
_cell_length_c 3.1834
_cell_angle_alpha 90.00
_cell_angle_beta 90.00
_cell_angle_gamma 120.00
loop_
_atom_site_label
_atom_site_type_symbol
_atom_site_fract_x
_atom_site_fract_y
_atom_site_fract_z
Ca1 Ca 0.0000 0.0000 0.0000
Ta1 Ta 0.3333 0.6667 0.5000
Hg1 Hg 0.6667 0.3333 0.5000

=====

## R
# CaTaHg | Alexandria | PBE | optimized geometry
# Total magnetic moment (Bohr magnetons per cell): 0.00
data_CaTaHg
_chemical_formula_sum 'Ca2 Ta2 Hg2'
_space_group_name_H-M_alt 'I 4 m m'
_space_group_IT_number 107
_space_group_name_Hall 'I 4 -2'
_cell_length_a 3.138
_cell_length_b 3.138
_cell_length_c 13.852
_cell_angle_alpha 90.00
_cell_angle_beta 90.00
_cell_angle_gamma 90.00
loop_
_atom_site_label
_atom_site_type_symbol
_atom_site_fract_x
_atom_site_fract_y
_atom_site_fract_z
Ca1 Ca 0.000 0.000 0.000
Ta1 Ta 0.000 0.000 0.678
Hg1 Hg 0.000 0.000 0.326

=====

## S
# CaTaHg | Alexandria | PBE | optimized geometry
# Total magnetic moment (Bohr magnetons per cell): 0.79
data_CaTaHg
_chemical_formula_sum 'Ca1 Ta1 Hg1'
_space_group_name_H-M_alt 'P 3 m 1'
_space_group_IT_number 156
_space_group_name_Hall 'P 3 -2"'
_cell_length_a 3.1923
_cell_length_b 3.1923
_cell_length_c 7.8233
_cell_angle_alpha 90.00
_cell_angle_beta 90.00
_cell_angle_gamma 120.00
loop_
_atom_site_label
_atom_site_type_symbol
_atom_site_fract_x
_atom_site_fract_y
_atom_site_fract_z
Ca1 Ca 0.0000 0.0000 0.0000
Ta1 Ta 0.3333 0.6667 0.6577
Hg1 Hg 0.6667 0.3333 0.3438

=====

The winner here is R, beating the second structure by 96 meV per atom.

=====

## P
# Ca3TaHg | Alexandria | PBE | optimized geometry
# Total magnetic moment (Bohr magnetons per cell): 3.36
data_Ca3TaHg
_chemical_formula_sum 'Ca3 Ta1 Hg1'
_space_group_name_H-M_alt 'P m -3 m'
_space_group_IT_number 221
_space_group_name_Hall '-P 4 2 3'
_cell_length_a 5.700
_cell_length_b 5.700
_cell_length_c 5.700
_cell_angle_alpha 90.00
_cell_angle_beta 90.00
_cell_angle_gamma 90.00
loop_
_atom_site_label
_atom_site_type_symbol
_atom_site_fract_x
_atom_site_fract_y
_atom_site_fract_z
Ca1 Ca 0.000 0.000 0.500
Ta1 Ta 0.500 0.500 0.500
Hg1 Hg 0.000 0.000 0.000

=====

## Q
# Ca3TaHg | Alexandria | PBE | optimized geometry
# Total magnetic moment (Bohr magnetons per cell): 0.00
data_Ca3TaHg
_chemical_formula_sum 'Ca3 Ta1 Hg1'
_space_group_name_H-M_alt 'P m -3 m'
_space_group_IT_number 221
_space_group_name_Hall '-P 4 2 3'
_cell_length_a 5.626
_cell_length_b 5.626
_cell_length_c 5.626
_cell_angle_alpha 90.00
_cell_angle_beta 90.00
_cell_angle_gamma 90.00
loop_
_atom_site_label
_atom_site_type_symbol
_atom_site_fract_x
_atom_site_fract_y
_atom_site_fract_z
Ca1 Ca 0.000 0.000 0.500
Ta1 Ta 0.000 0.000 0.000
Hg1 Hg 0.500 0.500 0.500

=====

The winner here is P, beating the second structure by 46 meV per atom.

=====

## P
# CaTb2Hg8 | Alexandria | PBE | optimized geometry
# Total magnetic moment (Bohr magnetons per cell): 0.00
data_CaTb2Hg8
_chemical_formula_sum 'Ca2 Tb4 Hg16'
_space_group_name_H-M_alt 'I m m m'
_space_group_IT_number 71
_space_group_name_Hall '-I 2 2'
_cell_length_a 5.129
_cell_length_b 7.216
_cell_length_c 15.042
_cell_angle_alpha 90.00
_cell_angle_beta 90.00
_cell_angle_gamma 90.00
loop_
_atom_site_label
_atom_site_type_symbol
_atom_site_fract_x
_atom_site_fract_y
_atom_site_fract_z
Ca1 Ca 0.000 0.000 0.000
Tb1 Tb 0.000 0.000 0.310
Hg1 Hg 0.000 0.207 0.500
Hg2 Hg 0.000 0.282 0.150
Hg3 Hg 0.000 0.500 0.341

=====

## Q
# CaTb2Hg8 | Alexandria | PBE | optimized geometry
# Total magnetic moment (Bohr magnetons per cell): 0.00
data_CaTb2Hg8
_chemical_formula_sum 'Ca2 Tb4 Hg16'
_space_group_name_H-M_alt 'C 1 2/m 1'
_space_group_IT_number 12
_space_group_name_Hall '-C 2y'
_cell_length_a 16.056
_cell_length_b 4.952
_cell_length_c 7.245
_cell_angle_alpha 90.00
_cell_angle_beta 107.47
_cell_angle_gamma 90.00
loop_
_atom_site_label
_atom_site_type_symbol
_atom_site_fract_x
_atom_site_fract_y
_atom_site_fract_z
Ca1 Ca 0.000 0.000 0.000
Tb1 Tb 0.219 0.500 0.660
Hg1 Hg 0.034 0.500 0.732
Hg2 Hg 0.098 0.000 0.462
Hg3 Hg 0.147 0.500 0.196
Hg4 Hg 0.176 0.000 0.904

=====

The winner here is Q, beating the second structure by 11 meV per atom.